(1)
Crystalline CsBaHgIr2 at its relaxed geometry, computed with PBE-GGA.

Unit cell a=5.172 b=6.327 c=5.172 alpha=90.00 beta=90.00 gamma=90.00
Fractional coordinates of all 5 atoms:
Cs (0.000, 0.000, 0.000)
Ir (0.000, 0.000, 0.500)
Ir (0.500, 0.000, 0.000)
Hg (0.500, 0.500, 0.500)
Ba (0.000, 0.500, 0.000)

- M_tot (μB/f.u.) = 0.0
- total energy (eV/atom) = -2.441

(2)
Crystalline CsBa2HgIr at its relaxed geometry, computed with PBE-GGA.

Unit cell a=6.113 b=6.113 c=5.621 alpha=90.00 beta=90.00 gamma=90.00
Fractional coordinates of all 5 atoms:
Cs (0.500, 0.500, 0.500)
Ir (0.000, 0.000, 0.000)
Hg (0.000, 0.000, 0.500)
Ba (0.000, 0.500, 0.000)
Ba (0.500, 0.000, 0.000)

- M_tot (μB/f.u.) = 0.0
- total energy (eV/atom) = -2.790

Which formula does entry 2 have? CsBa2HgIr

What is the formula in the first record? CsBaHgIr2

total energy of number 1 (CsBaHgIr2)? -2.441 eV/atom